Here is crystalline YMg4Te at its relaxed geometry from Alexandria. Energies are from PBE-GGA.

Properties
Symmetry = F-43m
Energy = -2.7192 eV/atom
Total magnetic moment = 0.000 μB/atom
Calculated volume = 25.440 Å³/atom
E_form (uncorrected) = -55.2 meV/atom

abc: 5.999 5.999 5.999
angles: 60.00 60.00 60.00
Atoms (fractional coordinates):
Y (0.000, 0.000, 0.000)
Mg (0.123, 0.626, 0.626)
Mg (0.626, 0.123, 0.626)
Mg (0.626, 0.626, 0.123)
Mg (0.626, 0.626, 0.626)
Te (0.250, 0.250, 0.250)

***

Here is crystalline YMg2Te at its relaxed geometry from Alexandria. Energies are from PBE-GGA.

Properties
Symmetry = R-3m
Energy = -3.3668 eV/atom
Total magnetic moment = 0.000 μB/atom
Calculated volume = 30.236 Å³/atom
E_form (uncorrected) = -168.1 meV/atom

abc: 9.093 9.093 9.093
angles: 25.31 25.31 25.31
Atoms (fractional coordinates):
Y (0.000, 0.000, 0.000)
Mg (0.235, 0.235, 0.235)
Mg (0.765, 0.765, 0.765)
Te (0.500, 0.500, 0.500)

***

Here is crystalline YMg2Te at its relaxed geometry from Alexandria. Energies are from PBE-GGA.

Properties
Symmetry = F-43m
Energy = -3.4460 eV/atom
Total magnetic moment = 0.000 μB/atom
Calculated volume = 26.363 Å³/atom
E_form (uncorrected) = -247.3 meV/atom

abc: 5.303 5.303 5.303
angles: 60.00 60.00 60.00
Atoms (fractional coordinates):
Y (0.000, 0.000, 0.000)
Mg (0.250, 0.250, 0.250)
Mg (0.500, 0.500, 0.500)
Te (0.750, 0.750, 0.750)

***

Here is crystalline YMg2Te at its relaxed geometry from Alexandria. Energies are from PBE-GGA.

Properties
Symmetry = I-42d
Energy = -3.5197 eV/atom
Total magnetic moment = 0.000 μB/atom
Calculated volume = 28.528 Å³/atom
E_form (uncorrected) = -321.0 meV/atom

abc: 6.844 6.844 6.844
angles: 101.30 101.30 127.46
Atoms (fractional coordinates):
Y (0.000, 0.000, 0.000)
Y (0.750, 0.250, 0.500)
Mg (0.161, 0.625, 0.036)
Mg (0.375, 0.411, 0.536)
Mg (0.589, 0.125, 0.964)
Mg (0.875, 0.839, 0.464)
Te (0.250, 0.750, 0.500)
Te (0.500, 0.500, 0.000)